# 1
# K2In4Au5 PBE optimized geometry
# Energy ... -2.9414 eV/atom
# Calculated formation energy ... -0.256 eV/atom
data_K2In4Au5
_symmetry_space_group_name_H-M 'F m m m'
_symmetry_Int_Tables_number 69
_symmetry_space_group_name_Hall '-F 2 2'
_cell_length_a 6.232
_cell_length_b 11.031
_cell_length_c 17.126
_cell_angle_alpha 90.00
_cell_angle_beta 90.00
_cell_angle_gamma 90.00
loop_
_atom_site_label
_atom_site_fract_x
_atom_site_fract_y
_atom_site_fract_z
_atom_site_occupancy
K1 0.000 0.000 0.133 1
In1 0.000 0.161 0.373 1
Au1 0.000 0.000 0.500 1
Au2 0.250 0.250 0.000 1
Au3 0.250 0.250 0.250 1


# 2
# K12In3Au5 PBE optimized geometry
# Energy ... -1.9062 eV/atom
# Calculated formation energy ... -0.018 eV/atom
data_K12In3Au5
_symmetry_space_group_name_H-M 'I a -3 d'
_symmetry_Int_Tables_number 230
_symmetry_space_group_name_Hall '-I 4bd 2c 3'
_cell_length_a 20.268
_cell_length_b 20.268
_cell_length_c 20.268
_cell_angle_alpha 90.00
_cell_angle_beta 90.00
_cell_angle_gamma 90.00
loop_
_atom_site_label
_atom_site_fract_x
_atom_site_fract_y
_atom_site_fract_z
_atom_site_occupancy
K1 0.022 0.066 0.651 1
In1 0.000 0.250 0.125 1
Au1 0.000 0.000 0.000 1
Au2 0.000 0.250 0.375 1


# 3
# K2In7Au12 PBE optimized geometry
# Energy ... -3.0765 eV/atom
# Calculated formation energy ... -0.186 eV/atom
data_K2In7Au12
_symmetry_space_group_name_H-M 'P -3'
_symmetry_Int_Tables_number 147
_symmetry_space_group_name_Hall '-P 3'
_cell_length_a 10.6335
_cell_length_b 10.6335
_cell_length_c 5.2077
_cell_angle_alpha 90.00
_cell_angle_beta 90.00
_cell_angle_gamma 120.00
loop_
_atom_site_label
_atom_site_fract_x
_atom_site_fract_y
_atom_site_fract_z
_atom_site_occupancy
K1 0.3333 0.6667 0.2879 1
In1 0.0000 0.0000 0.5000 1
In2 0.1031 0.3806 0.8571 1
Au1 0.0605 0.6072 0.7051 1
Au2 0.1431 0.2915 0.3465 1


# 4
# KIn6Au4 PBE optimized geometry
# Offset from the most stable computed form ... 94 meV/atom
# Energy ... -2.9551 eV/atom
# Calculated formation energy ... -0.170 eV/atom
data_KIn6Au4
_symmetry_space_group_name_H-M 'I -4 2 m'
_symmetry_Int_Tables_number 121
_symmetry_space_group_name_Hall 'I -4 2'
_cell_length_a 7.426
_cell_length_b 7.426
_cell_length_c 10.376
_cell_angle_alpha 90.00
_cell_angle_beta 90.00
_cell_angle_gamma 90.00
loop_
_atom_site_label
_atom_site_fract_x
_atom_site_fract_y
_atom_site_fract_z
_atom_site_occupancy
K1 0.000 0.000 0.000 1
In1 0.000 0.500 0.000 1
In2 0.172 0.172 0.310 1
Au1 0.190 0.190 0.591 1


> Which value of energy does entry 4 give?

-2.9551 eV/atom